This record from the Alexandria database describes crystalline KSiAs4 at its relaxed geometry. The functional is PBE-GGA. Values from VASP.

Geometry as Quantum ESPRESSO input:
```
&SYSTEM
  ibrav = 0, nat = 12, ntyp = 3
/
ATOMIC_SPECIES
K 39.10 K.upf
Si 28.09 Si.upf
As 74.92 As.upf
CELL_PARAMETERS angstrom
5.8904 -4.1742 0.0000
5.8904 4.1742 0.0000
-1.3759 0.0000 7.6337
ATOMIC_POSITIONS angstrom
K 1.7082 0.0000 2.6688
K 8.6968 0.0000 4.9650
Si 4.6664 0.0000 5.2032
Si 5.7385 0.0000 2.4305
As 4.3118 1.2449 0.5304
As 5.2025 1.8374 3.8169
As 2.4597 0.0000 6.0734
As 6.0931 1.2449 7.1033
As 4.3118 -1.2449 0.5304
As 7.9453 0.0000 1.5603
As 5.2025 -1.8374 3.8169
As 6.0931 -1.2449 7.1033
```

## Properties
The symmetry is C2/m, No. 12. The size of the total moment is 0.00 μB per formula unit. The energy above the most stable polymorph in this dataset is 0.0 meV/atom. For the uncorrected formation energy, the calculation gives -0.04 eV/atom.